Entry 1:
Here is crystalline ScHgTe2 at its relaxed geometry from Alexandria via LeMat-Bulk. Energies are from PBE.

## Properties
Energy relative to the elements, uncorrected, kJ/mol of atoms: -16.7
E_tot, eV/atom: -3.40
Crystal system: cubic

```
4
Lattice="5.300 0.000 0.000 2.650 4.590 0.000 2.650 1.530 4.328" Properties=species:S:1:pos:R:3 pbc="T T T"
Hg 5.300 3.060 2.164
Sc 7.951 4.590 3.246
Te 2.650 1.530 1.082
Te 0.000 0.000 0.000
```

***

Entry 2:
Here is crystalline Ti2TcMo at its relaxed geometry from Alexandria via LeMat-Bulk. Energies are from PBE.

## Properties
Formation energy from the elements, eV/atom: 0.332
E_tot, eV/atom: -8.91
Crystal system: tetragonal

```
8
Lattice="6.969 0.000 0.000 0.000 6.969 0.000 3.485 3.485 2.703" Properties=species:S:1:pos:R:3 pbc="T T T"
Ti 8.712 8.792 2.027
Ti 5.227 5.147 2.027
Ti 1.662 5.227 0.676
Ti 5.307 1.742 0.676
Tc 6.969 3.485 1.351
Tc 0.000 0.000 0.000
Mo 3.485 3.485 0.000
Mo 3.485 6.969 1.351
```

***

Entry 3:
Here is crystalline Tb2Dy3Hg4 at its relaxed geometry from Alexandria via LeMat-Bulk. Energies are from PBE.

## Properties
Formation energy from the elements, eV/atom: -0.326
E_tot, eV/atom: -3.02
Crystal system: orthorhombic

```
18
Lattice="-3.040 3.413 -5.230 -3.600 -6.775 -2.328 -5.502 0.196 7.938" Properties=species:S:1:pos:R:3 pbc="T T T"
Hg -2.604 -0.585 -1.174
Hg -6.337 2.750 0.866
Hg -4.124 1.121 -3.789
Hg -5.767 -1.279 -2.095
Hg -6.375 -1.888 2.474
Hg -8.018 -4.288 4.169
Hg -5.805 -5.918 -0.487
Hg -9.538 -2.582 1.554
Tb -3.448 -3.620 -0.358
Tb -6.138 -4.115 -3.729
Tb -8.694 0.453 0.737
Tb -6.004 0.948 4.109
Dy -7.131 -3.234 -0.271
Dy -5.611 -4.940 2.344
Dy -3.320 -1.681 -3.779
Dy 0.000 0.000 0.000
Dy -5.011 0.067 0.650
Dy -6.531 1.773 -1.965
```

***

Number 1: M_tot 0.00 Bohr magnetons per cell, calculated volume 26.32 Å³/atom. Number 2: M_tot 0.00 Bohr magnetons per cell, calculated volume 16.41 Å³/atom. Number 3: M_tot 0.00 Bohr magnetons per cell, calculated volume 27.89 Å³/atom.